Entry 1:
{"formula": "SbAsO2", "functional": "PBE", "state": "optimized geometry", "lattice": [[-3.615, 2.112, 0.793], [-1.108, 3.316, -2.435], [-3.294, -0.333, -2.683]], "species": ["Sb", "As", "O", "O"], "frac_coords": [[0.500, 0.500, 0.500], [0.000, 0.000, 0.000], [0.250, 0.250, 0.250], [0.750, 0.750, 0.750]], "dft_energy_ev_per_atom": -4.617, "e_form_raw_ev_per_atom": 0.055, "space_group": "No. 225", "magnetic_moment_mub_per_atom": 0.000, "relative_energy_mev_per_atom": 662.0}

=====

Entry 2:
{"formula": "SbAsO3", "functional": "PBE", "state": "optimized geometry", "lattice": [[-11.116, -7.487, 2.813], [2.443, -3.887, -0.693], [3.592, -3.511, 4.849]], "species": ["Sb", "Sb", "Sb", "Sb", "As", "As", "As", "As", "O", "O", "O", "O", "O", "O", "O", "O", "O", "O", "O", "O"], "frac_coords": [[0.351, 0.657, 0.346], [0.851, 0.343, 0.154], [0.649, 0.343, 0.654], [0.149, 0.657, 0.846], [0.099, 0.773, 0.260], [0.599, 0.227, 0.240], [0.901, 0.227, 0.740], [0.401, 0.773, 0.760], [0.357, 0.138, 0.467], [0.857, 0.862, 0.033], [0.643, 0.862, 0.533], [0.143, 0.138, 0.967], [0.100, 0.474, 0.173], [0.600, 0.526, 0.327], [0.900, 0.526, 0.827], [0.400, 0.474, 0.673], [0.210, 0.629, 0.438], [0.710, 0.371, 0.062], [0.790, 0.371, 0.562], [0.290, 0.629, 0.938]], "dft_energy_ev_per_atom": -6.010, "e_form_raw_ev_per_atom": -1.281, "space_group": "No. 14", "magnetic_moment_mub_per_atom": 0.000}

=====

Entry 3:
{"formula": "SbAsO3", "functional": "PBE", "state": "optimized geometry", "lattice": [[3.968, 0.000, 0.000], [0.000, 3.968, 0.000], [0.000, 0.000, 3.968]], "species": ["Sb", "As", "O", "O", "O"], "frac_coords": [[0.500, 0.500, 0.500], [0.000, 0.000, 0.000], [0.000, 0.500, 0.000], [0.000, 0.000, 0.500], [0.500, 0.000, 0.000]], "dft_energy_ev_per_atom": -5.283, "e_form_raw_ev_per_atom": -0.554, "space_group": "No. 221", "magnetic_moment_mub_per_atom": 0.000}

=====

Entry 4:
{"formula": "Sb3AsO", "functional": "PBE", "state": "optimized geometry", "lattice": [[-3.387, 0.625, 3.333], [-2.784, -3.204, -2.227], [1.937, -3.510, 2.627]], "species": ["Sb", "Sb", "Sb", "As", "O"], "frac_coords": [[0.000, 0.500, 0.000], [0.000, 0.000, 0.500], [0.500, 0.000, 0.000], [0.500, 0.500, 0.500], [0.000, 0.000, 0.000]], "dft_energy_ev_per_atom": -4.243, "e_form_raw_ev_per_atom": 0.152, "space_group": "No. 221", "magnetic_moment_mub_per_atom": 0.000, "relative_energy_mev_per_atom": 0.0}

=====

Entry 5:
{"formula": "Sb2AsO8", "functional": "PBE", "state": "optimized geometry", "lattice": [[4.827, -0.253, -0.706], [-0.252, 8.077, -4.615], [-0.969, -2.097, 5.764]], "species": ["Sb", "Sb", "As", "O", "O", "O", "O", "O", "O", "O", "O"], "frac_coords": [[0.816, 0.287, 0.574], [0.184, 0.713, 0.426], [0.000, 0.000, 0.000], [0.110, 0.735, 0.747], [0.890, 0.988, 0.253], [0.381, 0.187, 0.374], [0.619, 0.813, 0.626], [0.110, 0.012, 0.747], [0.890, 0.265, 0.253], [0.763, 0.515, 0.029], [0.237, 0.485, 0.971]], "dft_energy_ev_per_atom": -5.587, "e_form_raw_ev_per_atom": -0.809, "space_group": "No. 12", "magnetic_moment_mub_per_atom": 0.097}

=====

Entry 6:
{"formula": "SbAsO2", "functional": "PBE", "state": "optimized geometry", "lattice": [[1.938, 0.000, 6.767], [-0.969, 1.678, 6.767], [-0.969, -1.678, 6.767]], "species": ["Sb", "As", "O", "O"], "frac_coords": [[0.500, 0.500, 0.500], [0.000, 0.000, 0.000], [0.896, 0.896, 0.896], [0.104, 0.104, 0.104]], "dft_energy_ev_per_atom": -5.219, "e_form_raw_ev_per_atom": -0.547, "space_group": "No. 166", "magnetic_moment_mub_per_atom": 0.000, "relative_energy_mev_per_atom": 59.2}